The following is a GGA-PBE calculation of a relaxed structure of YSiRu3, from Alexandria via LeMat-Bulk.

Computed properties:
raw formation energy	2.1679	eV/atom

Cell: 4.8455 4.8455 4.8455 Å, 90.00 90.00 90.00°
Space group Pm-3m (No. 221)
Unique sites:
Y: 0.0000 0.0000 0.0000 [1 per cell]
Si: 0.5000 0.5000 0.5000 [1 per cell]
Ru: 0.0000 0.0000 0.5000 [3 per cell]